VASP calculation (PBE) on crystalline NdSmI2BrN at its relaxed geometry.

Calculated total energy in eV per atom: -5.321
Space-group type: C2/m
Crystal system: monoclinic

Unit cell a=9.899 b=9.899 c=12.196 alpha=124.73 beta=124.73 gamma=23.68
Fractional coordinates of all 12 atoms:
I: 0.228 0.228 0.632
I: 0.036 0.036 0.229
I: 0.964 0.964 0.771
Sm: 0.136 0.136 0.785
N: 0.574 0.574 0.654
Br: 0.327 0.327 0.996
N: 0.426 0.426 0.346
I: 0.772 0.772 0.368
Nd: 0.426 0.426 0.540
Br: 0.673 0.673 0.004
Sm: 0.864 0.864 0.215
Nd: 0.574 0.574 0.460

---

VASP calculation (PBE) on crystalline Pr4IBr4N at its relaxed geometry.

Calculated total energy in eV per atom: -5.128
Space-group type: C2/m
Crystal system: monoclinic

Unit cell a=9.356 b=9.356 c=8.805 alpha=103.71 beta=103.71 gamma=24.47
Fractional coordinates of all 10 atoms:
N: 0.500 0.500 0.500
Pr: 0.639 0.639 0.572
Pr: 0.999 0.999 0.694
Br: 0.166 0.166 0.833
Pr: 0.361 0.361 0.428
I: 0.500 0.500 0.000
Br: 0.829 0.829 0.665
Br: 0.834 0.834 0.167
Br: 0.171 0.171 0.335
Pr: 0.001 0.001 0.306

---

VASP calculation (PBE) on crystalline Pr4IBrN2 at its relaxed geometry.

Calculated total energy in eV per atom: -6.175
Space-group type: P-6m2
Crystal system: hexagonal

Unit cell a=3.785 b=3.785 c=15.030 alpha=90.00 beta=90.00 gamma=120.00
Fractional coordinates of all 8 atoms:
N: 0.667 0.333 0.240
Br: 0.000 0.000 0.000
Pr: 0.333 0.667 0.844
Pr: 0.000 0.000 0.333
Pr: 0.333 0.667 0.156
Pr: 0.000 0.000 0.667
N: 0.667 0.333 0.760
I: 0.333 0.667 0.500

---

VASP calculation (PBE) on crystalline PrSmIBr2N at its relaxed geometry.

Calculated total energy in eV per atom: -5.454
Space-group type: C2/m
Crystal system: monoclinic

Unit cell a=10.033 b=10.033 c=12.322 alpha=125.86 beta=125.86 gamma=23.28
Fractional coordinates of all 12 atoms:
Br: 0.025 0.025 0.744
Br: 0.672 0.672 0.502
N: 0.423 0.423 0.846
Br: 0.975 0.975 0.256
Sm: 0.862 0.862 0.715
I: 0.229 0.229 0.132
I: 0.771 0.771 0.868
Br: 0.328 0.328 0.498
Sm: 0.138 0.138 0.285
Pr: 0.428 0.428 0.042
N: 0.577 0.577 0.154
Pr: 0.572 0.572 0.958

---

VASP calculation (PBE) on crystalline PrSmIBr2N at its relaxed geometry.

Calculated total energy in eV per atom: -5.492
Space-group type: C2/m
Crystal system: monoclinic

Unit cell a=9.693 b=9.693 c=12.207 alpha=122.79 beta=122.79 gamma=24.40
Fractional coordinates of all 12 atoms:
Br: 0.791 0.791 0.387
Pr: 0.133 0.133 0.778
Br: 0.960 0.960 0.740
I: 0.339 0.339 0.985
Br: 0.209 0.209 0.613
Sm: 0.426 0.426 0.539
Sm: 0.574 0.574 0.461
N: 0.571 0.571 0.646
Br: 0.040 0.040 0.260
N: 0.429 0.429 0.354
I: 0.661 0.661 0.015
Pr: 0.867 0.867 0.222

---

VASP calculation (PBE) on crystalline PrSmIBr2N at its relaxed geometry.

Calculated total energy in eV per atom: -5.464
Space-group type: C2/m
Crystal system: monoclinic

Unit cell a=9.249 b=9.249 c=11.806 alpha=120.87 beta=120.87 gamma=25.45
Fractional coordinates of all 12 atoms:
Br: 0.780 0.780 0.884
N: 0.427 0.427 0.849
Pr: 0.580 0.580 0.956
Br: 0.220 0.220 0.116
Pr: 0.420 0.420 0.044
Sm: 0.868 0.868 0.723
Br: 0.957 0.957 0.252
I: 0.341 0.341 0.485
I: 0.659 0.659 0.515
Br: 0.043 0.043 0.748
Sm: 0.132 0.132 0.277
N: 0.573 0.573 0.151

---

VASP calculation (PBE) on crystalline PrSmIBr2N at its relaxed geometry.

Calculated total energy in eV per atom: -5.484
Space-group type: C2/m
Crystal system: monoclinic

Unit cell a=9.671 b=9.671 c=11.976 alpha=123.58 beta=123.58 gamma=24.34
Fractional coordinates of all 12 atoms:
Sm: 0.576 0.576 0.962
Sm: 0.424 0.424 0.038
I: 0.954 0.954 0.264
Pr: 0.865 0.865 0.713
Pr: 0.135 0.135 0.287
N: 0.571 0.571 0.152
Br: 0.670 0.670 0.512
N: 0.429 0.429 0.848
Br: 0.330 0.330 0.488
Br: 0.789 0.789 0.880
Br: 0.211 0.211 0.120
I: 0.046 0.046 0.736

---

VASP calculation (PBE) on crystalline SmPuIBr2N at its relaxed geometry.

Calculated total energy in eV per atom: -6.894
Space-group type: C2/m
Crystal system: monoclinic

Unit cell a=9.642 b=9.642 c=11.995 alpha=123.30 beta=123.30 gamma=23.67
Fractional coordinates of all 12 atoms:
I: 0.338 0.338 0.987
Br: 0.211 0.211 0.615
Sm: 0.425 0.425 0.540
Br: 0.789 0.789 0.385
I: 0.662 0.662 0.013
Pu: 0.870 0.870 0.226
Br: 0.040 0.040 0.255
Pu: 0.130 0.130 0.774
N: 0.426 0.426 0.347
N: 0.574 0.574 0.653
Sm: 0.575 0.575 0.460
Br: 0.960 0.960 0.745

---

VASP calculation (PBE) on crystalline Sm2IBr2N at its relaxed geometry.

Calculated total energy in eV per atom: -5.481
Space-group type: C2/m
Crystal system: monoclinic

Unit cell a=9.337 b=9.337 c=11.838 alpha=121.74 beta=121.74 gamma=24.92
Fractional coordinates of all 12 atoms:
N: 0.428 0.428 0.851
Sm: 0.577 0.577 0.958
I: 0.659 0.659 0.516
Sm: 0.869 0.869 0.724
Sm: 0.131 0.131 0.276
I: 0.341 0.341 0.484
Sm: 0.423 0.423 0.042
Br: 0.214 0.214 0.112
Br: 0.786 0.786 0.888
Br: 0.043 0.043 0.754
N: 0.572 0.572 0.149
Br: 0.957 0.957 0.246

---

VASP calculation (PBE) on crystalline Sm4IBr4N2 at its relaxed geometry.

Calculated total energy in eV per atom: -5.385
Space-group type: C2/m
Crystal system: monoclinic

Unit cell a=9.594 b=9.594 c=8.488 alpha=104.87 beta=104.87 gamma=22.56
Fractional coordinates of all 11 atoms:
N: 0.462 0.462 0.479
Br: 0.169 0.169 0.325
Br: 0.838 0.838 0.133
N: 0.538 0.538 0.521
Sm: 0.339 0.339 0.401
Sm: 0.999 0.999 0.313
Sm: 0.661 0.661 0.599
Sm: 0.001 0.001 0.687
Br: 0.162 0.162 0.867
Br: 0.831 0.831 0.675
I: 0.500 0.500 0.000